Below is a geometry-optimized CaZrCdHg structure, with properties calculated at the PBE level.

Properties
Energy of formation in eV per atom: -0.143
VASP energy in eV per atom: -3.08

Cell and atoms, written as CIF:
```
data_CaZrCdHg
_cell_length_a 5.1570
_cell_length_b 5.1570
_cell_length_c 5.1570
_cell_angle_alpha 60.00
_cell_angle_beta 60.00
_cell_angle_gamma 60.00
_symmetry_space_group_name_H-M 'P 1'
_symmetry_Int_Tables_number 1
loop_
_symmetry_equiv_pos_as_xyz
'x,y,z'
loop_
_atom_site_label
_atom_site_fract_x
_atom_site_fract_y
_atom_site_fract_z
Ca1 0.0000 0.0000 0.0000
Cd1 0.7500 0.7500 0.7500
Zr1 0.5000 0.5000 0.5000
Hg1 0.2500 0.2500 0.2500
```

Below is a geometry-optimized PtSN2Cl structure, with properties calculated at the PBE level.

Properties
Formation energy (no corrections) in eV per atom: 1.2930
ΔE to the lowest computed polymorph in eV/f.u.: 0.00
VASP energy in eV per atom: -4.44

Cell and atoms, written as CIF:
```
data_PtSN2Cl
_cell_length_a 3.7156
_cell_length_b 3.7156
_cell_length_c 7.8732
_cell_angle_alpha 90.00
_cell_angle_beta 90.00
_cell_angle_gamma 90.00
_symmetry_space_group_name_H-M 'P 1'
_symmetry_Int_Tables_number 1
loop_
_symmetry_equiv_pos_as_xyz
'x,y,z'
loop_
_atom_site_label
_atom_site_fract_x
_atom_site_fract_y
_atom_site_fract_z
Pt1 0.0000 0.0000 0.0000
N1 0.0000 0.5000 0.0000
N2 0.5000 0.0000 0.0000
Cl1 0.5000 0.5000 0.5000
S1 0.0000 0.0000 0.5000
```

Below is a geometry-optimized TbPm4Sm4 structure, with properties calculated at the PBE level.

Properties
Energy of formation in eV per atom: 0.013
VASP energy in eV per atom: -4.71

Cell and atoms, written as CIF:
```
data_TbPm4Sm4
_cell_length_a 5.1397
_cell_length_b 8.1177
_cell_length_c 9.5884
_cell_angle_alpha 53.74
_cell_angle_beta 74.50
_cell_angle_gamma 71.64
_symmetry_space_group_name_H-M 'P 1'
_symmetry_Int_Tables_number 1
loop_
_symmetry_equiv_pos_as_xyz
'x,y,z'
loop_
_atom_site_label
_atom_site_fract_x
_atom_site_fract_y
_atom_site_fract_z
Pm1 0.8340 0.3317 0.0003
Pm2 0.7220 0.8893 0.6667
Pm3 0.1660 0.6683 0.9997
Pm4 0.2780 0.1107 0.3333
Tb1 0.5000 0.0000 0.0000
Sm1 0.6108 0.4459 0.3326
Sm2 0.9448 0.7774 0.3331
Sm3 0.0552 0.2226 0.6669
Sm4 0.3892 0.5541 0.6674
```

Please write out number 2 again, unchanged.
Below is a geometry-optimized PtSN2Cl structure, with properties calculated at the PBE level.

Properties
Formation energy (no corrections) in eV per atom: 1.2930
ΔE to the lowest computed polymorph in eV/f.u.: 0.00
VASP energy in eV per atom: -4.44

Cell and atoms, written as CIF:
```
data_PtSN2Cl
_cell_length_a 3.7156
_cell_length_b 3.7156
_cell_length_c 7.8732
_cell_angle_alpha 90.00
_cell_angle_beta 90.00
_cell_angle_gamma 90.00
_symmetry_space_group_name_H-M 'P 1'
_symmetry_Int_Tables_number 1
loop_
_symmetry_equiv_pos_as_xyz
'x,y,z'
loop_
_atom_site_label
_atom_site_fract_x
_atom_site_fract_y
_atom_site_fract_z
Pt1 0.0000 0.0000 0.0000
N1 0.0000 0.5000 0.0000
N2 0.5000 0.0000 0.0000
Cl1 0.5000 0.5000 0.5000
S1 0.0000 0.0000 0.5000
```